# 1
First-principles (PBE) data for crystalline SrPaRh2O6 at its relaxed geometry, as listed in the Alexandria database.

Geometry as POSCAR:
```
SrPaRh2O6
1.0
-5.133 -2.141 -1.666
-3.393 -2.726 3.842
-5.273 3.210 2.007
Sr Pa Rh O
1 1 2 6
direct
0.000 0.000 0.000 Sr
0.500 0.500 0.500 Pa
0.758 0.758 0.727 Rh
0.242 0.242 0.273 Rh
0.102 0.445 0.723 O
0.730 0.102 0.723 O
0.555 0.270 0.277 O
0.898 0.555 0.277 O
0.270 0.898 0.277 O
0.445 0.730 0.723 O
```

Values from the calculation:
Its formation energy from raw total energies is -1737 meV/atom. As for the crystal system: trigonal.

# 2
First-principles (PBE) data for crystalline PrHg2Ge at its relaxed geometry, as listed in the Alexandria database.

Geometry as POSCAR:
```
PrHg2Ge
1.0
5.211 0.000 0.000
2.605 4.513 0.000
2.605 1.504 4.255
Pr Ge Hg
1 1 2
direct
0.000 0.000 0.000 Pr
0.500 0.500 0.500 Ge
0.250 0.250 0.250 Hg
0.750 0.750 0.750 Hg
```

Values from the calculation:
The calculation puts the calculated formation energy at -0.26 eV per atom. As for the crystal system: cubic.

# 3
First-principles (PBE) data for crystalline Ac4TlGaHg2 at its relaxed geometry, as listed in the Alexandria database.

Geometry as POSCAR:
```
Ac4TlGaHg2
1.0
-4.773 -1.781 2.594
-3.276 -3.985 -2.464
2.181 -8.613 4.398
Ac Tl Ga Hg
4 1 1 2
direct
0.379 0.379 0.862 Ac
0.870 0.870 0.389 Ac
0.130 0.130 0.611 Ac
0.621 0.621 0.138 Ac
0.000 0.000 0.000 Tl
0.500 0.500 0.500 Ga
0.747 0.747 0.759 Hg
0.253 0.253 0.241 Hg
```

Values from the calculation:
The calculation puts the calculated formation energy at -0.42 eV per atom. As for the crystal system: trigonal.

# 4
First-principles (PBE) data for crystalline UHgIr at its relaxed geometry, as listed in the Alexandria database.

Geometry as POSCAR:
```
UHgIr
1.0
4.563 1.958 -0.656
1.936 4.572 -0.656
-3.796 -3.815 8.407
Hg U Ir
2 2 2
direct
0.692 0.692 0.573 Hg
0.308 0.308 0.427 Hg
0.534 0.534 0.893 U
0.466 0.466 0.107 U
0.120 0.120 0.762 Ir
0.880 0.880 0.238 Ir
```

Values from the calculation:
The calculation puts the calculated formation energy at -0.02 eV per atom. As for the crystal system: monoclinic.

# 5
First-principles (PBE) data for crystalline BaZrRe at its relaxed geometry, as listed in the Alexandria database.

Geometry as POSCAR:
```
BaZrRe
1.0
4.868 0.000 0.000
2.434 4.215 0.000
2.434 1.405 3.974
Ba Re Zr
1 1 1
direct
0.500 0.500 0.500 Ba
0.750 0.750 0.750 Re
0.000 0.000 0.000 Zr
```

Values from the calculation:
The calculation puts the calculated formation energy at 0.95 eV per atom. As for the crystal system: cubic.

# 6
First-principles (PBE) data for crystalline DyTm4Tl2 at its relaxed geometry, as listed in the Alexandria database.

Geometry as POSCAR:
```
DyTm4Tl2
1.0
-3.058 -4.180 -0.224
2.004 -4.613 -1.257
1.392 -4.705 8.794
Dy Tm Tl
1 4 2
direct
0.500 0.500 0.500 Dy
0.712 0.712 0.864 Tm
0.881 0.881 0.356 Tm
0.288 0.288 0.136 Tm
0.119 0.119 0.644 Tm
0.604 0.604 0.188 Tl
0.396 0.396 0.812 Tl
```

Values from the calculation:
The calculation puts the calculated formation energy at 0.11 eV per atom. As for the crystal system: trigonal.

# 7
First-principles (PBE) data for crystalline Hf2SbC at its relaxed geometry, as listed in the Alexandria database.

Geometry as POSCAR:
```
Hf2SbC
1.0
-0.425 -3.529 5.698
-4.605 -3.995 -2.818
0.004 -5.875 0.320
Sb C Hf
2 2 4
direct
0.000 0.000 0.000 Sb
0.750 0.250 0.500 Sb
0.500 0.500 0.000 C
0.250 0.750 0.500 C
0.526 0.125 0.250 Hf
0.224 0.625 0.250 Hf
0.375 0.474 0.750 Hf
0.875 0.776 0.750 Hf
```

Values from the calculation:
Its formation energy from raw total energies is -272 meV/atom. As for the crystal system: tetragonal.

# 8
First-principles (PBE) data for crystalline Cs2BPtI6 at its relaxed geometry, as listed in the Alexandria database.

Geometry as POSCAR:
```
Cs2BPtI6
1.0
-6.987 1.170 -5.264
-2.418 -8.381 1.346
-7.627 -2.084 2.261
Cs I B Pt
2 6 1 1
direct
0.750 0.250 0.500 Cs
0.250 0.750 0.500 Cs
0.305 0.305 0.389 I
0.695 0.695 0.611 I
0.216 0.216 0.000 I
0.784 0.784 0.000 I
0.784 0.216 0.000 I
0.216 0.784 0.000 I
0.500 0.500 0.000 B
0.000 0.000 0.000 Pt
```

Values from the calculation:
Its formation energy from raw total energies is -414 meV/atom. As for the crystal system: tetragonal.

# 9
First-principles (PBE) data for crystalline Sc3Mn at its relaxed geometry, as listed in the Alexandria database.

Geometry as POSCAR:
```
Sc3Mn
1.0
5.561 0.000 0.000
0.000 5.561 0.000
0.000 0.000 5.561
Sc Mn
6 2
direct
0.000 0.250 0.500 Sc
0.000 0.750 0.500 Sc
0.250 0.500 0.000 Sc
0.500 0.000 0.250 Sc
0.500 0.000 0.750 Sc
0.750 0.500 0.000 Sc
0.000 0.000 0.000 Mn
0.500 0.500 0.500 Mn
```

Values from the calculation:
The calculation puts the calculated formation energy at 0.26 eV per atom. As for the crystal system: cubic.

# 10
First-principles (PBE) data for crystalline Sr2ZnCu at its relaxed geometry, as listed in the Alexandria database.

Geometry as POSCAR:
```
Sr2ZnCu
1.0
8.354 0.000 0.000
0.000 8.354 0.000
4.177 4.177 3.863
Sr Zn Cu
4 2 2
direct
0.607 0.125 0.250 Sr
0.143 0.625 0.250 Sr
0.375 0.393 0.750 Sr
0.875 0.857 0.750 Sr
0.000 0.000 0.000 Zn
0.750 0.250 0.500 Zn
0.500 0.500 0.000 Cu
0.250 0.750 0.500 Cu
```

Values from the calculation:
The calculation puts the calculated formation energy at 0.18 eV per atom. As for the crystal system: tetragonal.

# 11
First-principles (PBE) data for crystalline Ce2DyHo3Te6 at its relaxed geometry, as listed in the Alexandria database.

Geometry as POSCAR:
```
Ce2DyHo3Te6
1.0
-1.262 2.668 -3.198
-7.431 1.843 4.469
6.919 5.265 4.625
Ce Dy Ho Te
2 1 3 6
direct
0.832 0.664 0.665 Ce
0.168 0.336 0.335 Ce
0.500 0.000 0.000 Dy
0.500 0.500 0.000 Ho
0.831 0.166 0.663 Ho
0.169 0.834 0.337 Ho
0.334 0.925 0.668 Te
0.663 0.591 0.326 Te
0.666 0.075 0.332 Te
0.997 0.249 0.993 Te
0.003 0.751 0.007 Te
0.337 0.409 0.674 Te
```

Values from the calculation:
Its formation energy from raw total energies is -1301 meV/atom. As for the crystal system: monoclinic.

# 12
First-principles (PBE) data for crystalline Rb2LaBBr6 at its relaxed geometry, as listed in the Alexandria database.

Geometry as POSCAR:
```
Rb2LaBBr6
1.0
8.015 0.000 0.000
0.000 8.015 0.000
4.008 4.008 5.670
B Br Rb La
1 6 2 1
direct
0.500 0.500 0.000 B
0.258 0.258 0.484 Br
0.742 0.742 0.516 Br
0.258 0.258 0.000 Br
0.742 0.742 0.000 Br
0.742 0.258 0.000 Br
0.258 0.742 0.000 Br
0.750 0.250 0.500 Rb
0.250 0.750 0.500 Rb
0.000 0.000 0.000 La
```

Values from the calculation:
Its formation energy from raw total energies is -1156 meV/atom. As for the crystal system: cubic.

# 13
First-principles (PBE) data for crystalline VGaSb2 at its relaxed geometry, as listed in the Alexandria database.

Geometry as POSCAR:
```
VGaSb2
1.0
-2.715 -0.157 5.578
1.049 -6.107 0.339
4.679 -2.035 5.673
Sb Ga V
4 2 2
direct
0.620 0.125 0.250 Sb
0.130 0.625 0.250 Sb
0.375 0.380 0.750 Sb
0.875 0.870 0.750 Sb
0.000 0.000 0.000 Ga
0.750 0.250 0.500 Ga
0.500 0.500 0.000 V
0.250 0.750 0.500 V
```

Values from the calculation:
Its formation energy from raw total energies is 254 meV/atom. As for the crystal system: tetragonal.

# 14
First-principles (PBE) data for crystalline Cu3TcO6 at its relaxed geometry, as listed in the Alexandria database.

Geometry as POSCAR:
```
Cu3TcO6
1.0
5.988 -0.246 -0.252
-0.376 5.982 -0.252
-0.376 -0.385 5.975
Cu Tc O
6 2 12
direct
0.411 0.964 0.732 Cu
0.964 0.732 0.411 Cu
0.268 0.589 0.036 Cu
0.732 0.411 0.964 Cu
0.036 0.268 0.589 Cu
0.589 0.036 0.268 Cu
0.000 0.000 0.000 Tc
0.500 0.500 0.500 Tc
0.291 0.921 0.123 O
0.079 0.877 0.709 O
0.652 0.784 0.435 O
0.877 0.709 0.079 O
0.435 0.652 0.784 O
0.216 0.565 0.348 O
0.784 0.435 0.652 O
0.565 0.348 0.216 O
0.123 0.291 0.921 O
0.348 0.216 0.565 O
0.921 0.123 0.291 O
0.709 0.079 0.877 O
```

Values from the calculation:
Its formation energy from raw total energies is -767 meV/atom. As for the crystal system: trigonal.

# 15
First-principles (PBE) data for crystalline RbNa2BiPd at its relaxed geometry, as listed in the Alexandria database.

Geometry as POSCAR:
```
RbNa2BiPd
1.0
5.703 0.000 0.000
0.000 5.703 0.000
0.000 0.000 5.286
Na Rb Bi Pd
2 1 1 1
direct
0.000 0.500 0.000 Na
0.500 0.000 0.000 Na
0.500 0.500 0.500 Rb
0.000 0.000 0.500 Bi
0.000 0.000 0.000 Pd
```

Values from the calculation:
The calculation puts the calculated formation energy at -0.22 eV per atom. As for the crystal system: tetragonal.

# 16
First-principles (PBE) data for crystalline KSb2P at its relaxed geometry, as listed in the Alexandria database.

Geometry as POSCAR:
```
KSb2P
1.0
-1.696 4.055 -1.295
-3.844 -2.058 -1.413
-1.963 0.603 4.461
K P Sb
1 1 2
direct
0.500 0.000 0.500 K
0.000 0.500 0.500 P
0.000 0.000 0.000 Sb
0.500 0.500 0.000 Sb
```

Values from the calculation:
Its formation energy from raw total energies is 212 meV/atom. As for the crystal system: tetragonal.

# 17
First-principles (PBE) data for crystalline TeH4Pd5 at its relaxed geometry, as listed in the Alexandria database.

Geometry as POSCAR:
```
TeH4Pd5
1.0
5.334 0.000 0.000
0.000 5.688 0.000
0.000 0.000 7.914
Te H Pd
2 8 10
direct
0.909 0.000 0.000 Te
0.091 0.500 0.500 Te
0.403 0.000 0.729 H
0.432 0.717 0.000 H
0.432 0.283 0.000 H
0.403 0.000 0.271 H
0.597 0.500 0.229 H
0.568 0.783 0.500 H
0.568 0.217 0.500 H
0.597 0.500 0.771 H
0.245 0.743 0.816 Pd
0.245 0.257 0.816 Pd
0.684 0.500 0.000 Pd
0.245 0.743 0.184 Pd
0.245 0.257 0.184 Pd
0.755 0.757 0.316 Pd
0.755 0.243 0.316 Pd
0.316 0.000 0.500 Pd
0.755 0.243 0.684 Pd
0.755 0.757 0.684 Pd
```

Values from the calculation:
As for the crystal system: orthorhombic.

The calculation returns the following DFT total energy values, one per record and in order: -7.300; -2.757; -3.228; -6.837; -6.686; -3.778; -8.586; -2.787; -6.783; -2.005; -5.388; -3.514; -4.844; -6.008; -2.758; -3.476; -4.326 eV per atom.